(1)
The following is a PBE calculation of crystalline CsNb2Tl2O7 at its relaxed geometry, from the Alexandria database.

Cell lengths 6.2955, 6.2955, 26.8504 Å; angles 90.00, 90.00, 120.00 degrees
With the nearest neighbours (Å) after each atom.
Space group R32 (No. 155, hexagonal axes)
One atom of each set of equivalent atoms:
1 Cs 0.0000 0.0000 0.0000 [3 per cell]  6 O 3.23
2 Nb 0.0000 0.0000 0.4275 [6 per cell]  4 O 1.86-1.95
3 Tl 0.0000 0.0000 0.2173 [6 per cell]  3 O 2.37
4 O 0.0000 0.0000 0.5000 [3 per cell]  2 Nb 1.95
5 O 0.0278 0.4238 0.0719 [18 per cell]  1 Nb 1.86

## Properties
Volume   25.60 Å³/atom
Energy relative to the elements, uncorrected   -1.85 eV per atom
N(E_F)   6.97 states/eV/f.u.
Crystal system   trigonal
DFT total energy   -6.89 eV per atom



(2)
The following is a PBE calculation of crystalline MnOsPt2 at its relaxed geometry, from the Alexandria database.

Cell lengths 6.2088, 6.2088, 6.2088 Å; angles 90.00, 90.00, 90.00 degrees
With the nearest neighbours (Å) after each atom.
Space group F-43m (No. 216)
One atom of each set of equivalent atoms:
1 Mn 0.0000 0.0000 0.0000 [4 per cell]  4 Pt 2.69, 4 Os 2.69
2 Os 0.2500 0.2500 0.7500 [4 per cell]  4 Mn 2.69, 4 Pt 2.69
3 Pt 0.0000 0.0000 0.5000 [4 per cell]  4 Os 2.69, 4 Pt 2.69
4 Pt 0.2500 0.2500 0.2500 [4 per cell]  4 Pt 2.69, 4 Mn 2.69

## Properties
ΔH_f (0 K)   205 meV per atom
Volume   14.96 Å³/atom
N(E_F)   4.68 states/eV/f.u.
Crystal system   cubic
DFT total energy   -7.91 eV per atom



(3)
The following is a PBE calculation of crystalline Hf5CoRh2 at its relaxed geometry, from the Alexandria database.

Cell lengths 6.5777, 10.6515, 4.3030 Å; angles 90.00, 90.00, 90.00 degrees
With the nearest neighbours (Å) after each atom.
Space group Pbam (No. 55)
One atom of each set of equivalent atoms:
1 Hf 0.0000 0.0000 0.0000 [2 per cell]  4 Rh 2.76
2 Hf 0.1531 0.2895 0.0000 [4 per cell]  1 Co 2.46
3 Hf 0.1740 0.5877 0.5000 [4 per cell]  2 Co 2.61, 2 Rh 2.67-2.81
4 Co 0.0000 0.5000 0.0000 [2 per cell]  6 Hf 2.46-2.61
5 Rh 0.0635 0.8422 0.5000 [4 per cell]  8 Hf 2.67-2.94

## Properties
ΔH_f (0 K)   -489 meV per atom
Volume   18.84 Å³/atom
N(E_F)   6.67 states/eV/f.u.
Crystal system   orthorhombic
DFT total energy   -9.44 eV per atom



(4)
The following is a PBE calculation of crystalline TaBe10Mo at its relaxed geometry, from the Alexandria database.

Cell lengths 3.3637, 4.3667, 7.5542 Å; angles 90.00, 90.00, 90.00 degrees
With the nearest neighbours (Å) after each atom.
Space group Pmmm (No. 47)
One atom of each set of equivalent atoms:
1 Ta 0.0000 0.0000 0.0000 [1 per cell]  18 Be 2.54-2.77
2 Be 0.0000 0.0000 0.3403 [2 per cell]  6 Be 2.07-2.11
3 Be 0.0000 0.5000 0.1709 [2 per cell]  6 Be 2.10-2.12
4 Be 0.5000 0.0000 0.5000 [1 per cell]  8 Be 2.07-2.16
5 Be 0.5000 0.2511 0.2532 [4 per cell]  8 Be 2.10-2.20
6 Be 0.5000 0.5000 0.0000 [1 per cell]  8 Be 2.12-2.20
7 Mo 0.0000 0.5000 0.5000 [1 per cell]  18 Be 2.49-2.76

## Properties
ΔH_f (0 K)   -169 meV per atom
Volume   9.25 Å³/atom
N(E_F)   3.42 states/eV/f.u.
Crystal system   orthorhombic
DFT total energy   -5.16 eV per atom



(5)
The following is a PBE calculation of crystalline BeHgPt3 at its relaxed geometry, from the Alexandria database.

Cell lengths 4.4633, 5.6794, 6.2547 Å; angles 90.00, 101.66, 90.00 degrees
With the nearest neighbours (Å) after each atom.
Space group P2_1/m (No. 11)
One atom of each set of equivalent atoms:
1 Be 0.1393 0.2500 0.0372 [2 per cell]  6 Pt 2.28-2.42
2 Hg 0.4971 0.7500 0.5534 [2 per cell]  1 Be 2.74, 7 Pt 2.85-3.07, 2 Hg 2.92
3 Pt 0.0515 0.0006 0.7310 [4 per cell]  2 Be 2.31-2.35
4 Pt 0.4116 0.7500 0.0835 [2 per cell]  2 Be 2.28-2.42

## Properties
ΔH_f (0 K)   -204 meV per atom
Volume   15.53 Å³/atom
ΔE to the lowest computed polymorph   100 meV per atom
N(E_F)   1.44 states/eV/f.u.
Crystal system   monoclinic
DFT total energy   -4.63 eV per atom



(6)
The following is a PBE calculation of crystalline Rb5Sn2Ge4 at its relaxed geometry, from the Alexandria database.

Cell lengths 12.7434, 7.4452, 9.8569 Å; angles 90.00, 114.35, 90.00 degrees
With the nearest neighbours (Å) after each atom.
Space group C2/m (No. 12)
One atom of each set of equivalent atoms:
1 Rb 0.0000 0.0000 0.0000 [2 per cell]  4 Ge 3.51-3.70, 4 Rb 3.82
2 Rb 0.0781 0.2606 0.3627 [8 per cell]  4 Rb 3.56-3.97, 3 Ge 3.60-3.77, 2 Sn 3.82-3.88
3 Sn 0.2046 0.0000 0.7600 [4 per cell]  1 Ge 2.58
4 Ge 0.2005 0.5000 0.7106 [4 per cell]  1 Ge 2.33
5 Ge 0.2116 0.5000 0.9525 [4 per cell]  1 Ge 2.33, 1 Sn 2.58

## Properties
ΔH_f (0 K)   114 meV per atom
Volume   38.73 Å³/atom
N(E_F)   2.94 states/eV/f.u.
Crystal system   monoclinic
DFT total energy   -2.73 eV per atom



(7)
The following is a PBE calculation of crystalline SmEr2Pt at its relaxed geometry, from the Alexandria database.

Cell lengths 3.9284, 3.9284, 26.8455 Å; angles 90.00, 90.00, 120.00 degrees
With the nearest neighbours (Å) after each atom.
Space group R3m (No. 160, hexagonal axes)
One atom of each set of equivalent atoms:
1 Sm 0.0000 0.0000 0.0000 [3 per cell]  6 Er 3.61-3.71, 6 Sm 3.93
2 Er 0.0000 0.0000 0.2287 [3 per cell]  3 Pt 2.77
3 Er 0.0000 0.0000 0.4426 [3 per cell]  3 Pt 2.79
4 Pt 0.0000 0.0000 0.8362 [3 per cell]  6 Er 2.77-2.79

## Properties
ΔH_f (0 K)   -552 meV per atom
Volume   29.90 Å³/atom
ΔE to the lowest computed polymorph   160 meV per atom
N(E_F)   3.86 states/eV/f.u.
Crystal system   trigonal
DFT total energy   -5.52 eV per atom



(8)
The following is a PBE calculation of crystalline Np2PaP3 at its relaxed geometry, from the Alexandria database.

Cell lengths 3.9785, 5.6145, 11.8400 Å; angles 90.00, 90.00, 90.00 degrees
With the nearest neighbours (Å) after each atom.
Space group Immm (No. 71)
One atom of each set of equivalent atoms:
1 Np 0.0000 0.0000 0.1664 [4 per cell]  6 P 2.80-2.81
2 Pa 0.0000 0.0000 0.5000 [2 per cell]  6 P 2.81
3 P 0.0000 0.5000 0.1674 [4 per cell]  4 Np 2.80-2.81, 2 Pa 2.81
4 P 0.0000 0.5000 0.5000 [2 per cell]  4 Np 2.80, 2 Pa 2.81

## Properties
ΔH_f (0 K)   -1023 meV per atom
Volume   22.04 Å³/atom
N(E_F)   16.07 states/eV/f.u.
Crystal system   orthorhombic
DFT total energy   -9.62 eV per atom



(9)
The following is a PBE calculation of crystalline Si4NiRu at its relaxed geometry, from the Alexandria database.

Cell lengths 6.7985, 6.7985, 6.7985 Å; angles 90.00, 90.00, 90.00 degrees
With the nearest neighbours (Å) after each atom.
Space group F-43m (No. 216)
One atom of each set of equivalent atoms:
1 Si 0.1250 0.1250 0.1250 [16 per cell]  6 Si 2.40
2 Ni 0.0000 0.0000 0.5000 [4 per cell]  12 Si 2.82, 4 Ru 2.94
3 Ru 0.2500 0.2500 0.7500 [4 per cell]  12 Si 2.82, 4 Ni 2.94

## Properties
Volume   13.09 Å³/atom
Energy relative to the elements, uncorrected   0.39 eV per atom
N(E_F)   4.20 states/eV/f.u.
Crystal system   cubic
DFT total energy   -5.74 eV per atom



(10)
The following is a PBE calculation of crystalline Mg2ReRh at its relaxed geometry, from the Alexandria database.

Cell lengths 2.7661, 4.4643, 5.1536 Å; angles 90.00, 98.79, 90.00 degrees
With the nearest neighbours (Å) after each atom.
Space group P2/m (No. 10)
One atom of each set of equivalent atoms:
1 Mg 0.2191 0.0000 0.2525 [2 per cell]  2 Rh 2.69, 5 Mg 2.70-2.99, 2 Re 2.75
2 Re 0.5000 0.5000 0.0000 [1 per cell]  2 Rh 2.73, 4 Mg 2.75, 2 Re 2.77
3 Rh 0.0000 0.5000 0.5000 [1 per cell]  4 Mg 2.69, 2 Re 2.73, 2 Rh 2.77

## Properties
ΔH_f (0 K)   100 meV per atom
Volume   15.72 Å³/atom
ΔE to the lowest computed polymorph   165 meV per atom
N(E_F)   2.98 states/eV/f.u.
Crystal system   monoclinic
DFT total energy   -5.65 eV per atom



(11)
The following is a PBE calculation of crystalline PmNdSnRh at its relaxed geometry, from the Alexandria database.

Cell lengths 7.4340, 7.4340, 7.4340 Å; angles 90.00, 90.00, 90.00 degrees
With the nearest neighbours (Å) after each atom.
Space group F-43m (No. 216)
One atom of each set of equivalent atoms:
1 Pm 0.0000 0.0000 0.0000 [4 per cell]  4 Sn 3.22, 4 Rh 3.22
2 Nd 0.0000 0.0000 0.5000 [4 per cell]  4 Sn 3.22, 4 Rh 3.22
3 Sn 0.2500 0.2500 0.7500 [4 per cell]  4 Nd 3.22, 4 Pm 3.22
4 Rh 0.2500 0.2500 0.2500 [4 per cell]  4 Nd 3.22, 4 Pm 3.22

## Properties
ΔH_f (0 K)   -560 meV per atom
Volume   25.68 Å³/atom
ΔE to the lowest computed polymorph   133 meV per atom
N(E_F)   2.92 states/eV/f.u.
Crystal system   cubic
DFT total energy   -5.78 eV per atom



(12)
The following is a PBE calculation of crystalline NdVN3 at its relaxed geometry, from the Alexandria database.

Cell lengths 5.7088, 3.7711, 7.7152 Å; angles 90.00, 110.05, 90.00 degrees
With the nearest neighbours (Å) after each atom.
Space group P2_1/m (No. 11)
One atom of each set of equivalent atoms:
1 Nd 0.2494 0.2500 0.1946 [2 per cell]  6 N 2.37-2.50
2 V 0.1431 0.2500 0.6618 [2 per cell]  2 N 1.71-1.83
3 N 0.0237 0.7500 0.6177 [2 per cell]  3 V 1.99-2.04
4 N 0.0556 0.2500 0.8693 [2 per cell]  1 V 1.83
5 N 0.4616 0.2500 0.7231 [2 per cell]  1 V 1.71

## Properties
Volume   15.60 Å³/atom
Energy relative to the elements, uncorrected   -0.75 eV per atom
N(E_F)   3.57 states/eV/f.u.
Crystal system   monoclinic
DFT total energy   -8.53 eV per atom



(13)
The following is a PBE calculation of crystalline TeSICl2 at its relaxed geometry, from the Alexandria database.

Cell lengths 5.1607, 5.1607, 5.4768 Å; angles 90.00, 90.00, 90.00 degrees
With the nearest neighbours (Å) after each atom.
Space group P4/mmm (No. 123)
One atom of each set of equivalent atoms:
1 Te 0.0000 0.0000 0.0000 [1 per cell]  4 Cl 2.58, 2 S 2.74
2 S 0.0000 0.0000 0.5000 [1 per cell]  2 Te 2.74
3 I 0.5000 0.5000 0.5000 [1 per cell]  4 S 3.65, 8 Cl 3.76
4 Cl 0.0000 0.5000 0.0000 [2 per cell]  2 Te 2.58

## Properties
Volume   29.17 Å³/atom
ΔE to the lowest computed polymorph   0 meV per atom
Energy relative to the elements, uncorrected   0.17 eV per atom
N(E_F)   4.46 states/eV/f.u.
Crystal system   tetragonal
DFT total energy   -2.34 eV per atom



(14)
The following is a PBE calculation of crystalline RbCaSn2Pb at its relaxed geometry, from the Alexandria database.

Cell lengths 6.0157, 6.0157, 5.7260 Å; angles 90.00, 90.00, 90.00 degrees
With the nearest neighbours (Å) after each atom.
Space group P4/mmm (No. 123)
One atom of each set of equivalent atoms:
1 Rb 0.0000 0.0000 0.0000 [1 per cell]  2 Ca 2.86, 4 Sn 3.01
2 Ca 0.0000 0.0000 0.5000 [1 per cell]  2 Rb 2.86
3 Sn 0.0000 0.5000 0.0000 [2 per cell]  2 Rb 3.01
4 Pb 0.5000 0.5000 0.5000 [1 per cell]  8 Sn 4.15, 4 Ca 4.25

## Properties
ΔH_f (0 K)   966 meV per atom
Volume   41.44 Å³/atom
N(E_F)   5.10 states/eV/f.u.
Crystal system   tetragonal
DFT total energy   -1.97 eV per atom



(15)
The following is a PBE calculation of crystalline AcGa11Pd at its relaxed geometry, from the Alexandria database.

Cell lengths 5.3204, 12.4393, 8.0840 Å; angles 90.00, 108.92, 90.00 degrees
With the nearest neighbours (Å) after each atom.
Space group C2/m (No. 12)
One atom of each set of equivalent atoms:
1 Ac 0.0000 0.0000 0.0000 [2 per cell]  16 Ga 3.38-3.56
2 Ga 0.0000 0.0000 0.5000 [2 per cell]  2 Pd 2.66, 8 Ga 2.79-2.81
3 Ga 0.1197 0.3885 0.2356 [8 per cell]  7 Ga 2.77-3.02, 1 Pd 2.79
4 Ga 0.1972 0.1771 0.3652 [8 per cell]  1 Pd 2.74, 5 Ga 2.75-3.02
5 Ga 0.2500 0.2500 0.0000 [4 per cell]  6 Ga 2.66-2.83
6 Pd 0.0000 0.5000 0.5000 [2 per cell]  10 Ga 2.66-2.79

## Properties
ΔH_f (0 K)   -243 meV per atom
Volume   19.47 Å³/atom
N(E_F)   5.22 states/eV/f.u.
Crystal system   monoclinic
DFT total energy   -3.52 eV per atom



(16)
The following is a PBE calculation of crystalline TaSi2Os at its relaxed geometry, from the Alexandria database.

Cell lengths 6.2289, 6.2289, 6.2289 Å; angles 90.00, 90.00, 90.00 degrees
With the nearest neighbours (Å) after each atom.
Space group F-43m (No. 216)
One atom of each set of equivalent atoms:
1 Ta 0.0000 0.0000 0.0000 [4 per cell]  4 Os 2.70, 4 Si 2.70
2 Si 0.0000 0.0000 0.5000 [4 per cell]  4 Si 2.70, 4 Os 2.70
3 Si 0.2500 0.2500 0.2500 [4 per cell]  4 Ta 2.70, 4 Si 2.70
4 Os 0.2500 0.2500 0.7500 [4 per cell]  4 Si 2.70, 4 Ta 2.70

## Properties
Volume   15.10 Å³/atom
Energy relative to the elements, uncorrected   0.08 eV per atom
N(E_F)   3.07 states/eV/f.u.
Crystal system   cubic
DFT total energy   -8.40 eV per atom